[1]
This record from Alexandria via LeMat-Bulk describes a geometry-optimized TaZnP3 structure. The functional is GGA-PBE.

Cell lengths 4.8161, 4.8161, 4.8161 Å; angles 90.00, 90.00, 90.00 degrees
With the nearest neighbours (Å) after each atom.
Space group Pm-3m (No. 221)
Inequivalent atoms, fractional coordinates:
Ta 0.0000 0.0000 0.0000  6 P 2.41
Zn 0.5000 0.5000 0.5000  12 P 3.41
P 0.0000 0.0000 0.5000  2 Ta 2.41

Computed properties:
Polymorph energy (0 for the lowest one) = 0 meV per atom
Fermi-level density of states = 0.81 states/eV per atom
ΔH_f (0 K) = 456 meV per atom
M_tot = 0.000 Bohr magnetons per cell

***

[2]
This record from Alexandria via LeMat-Bulk describes a geometry-optimized TaZnP structure. The functional is GGA-PBE.

Cell lengths 6.0244, 6.0244, 6.0244 Å; angles 90.00, 90.00, 90.00 degrees
With the nearest neighbours (Å) after each atom.
Space group F-43m (No. 216)
Inequivalent atoms, fractional coordinates:
Ta 0.0000 0.0000 0.0000  4 P 2.61, 4 Zn 2.61
Zn 0.2500 0.2500 0.2500  4 Ta 2.61
P 0.2500 0.2500 0.7500  4 Ta 2.61

Computed properties:
Fermi-level density of states = 1.10 states/eV per atom
ΔH_f (0 K) = 365 meV per atom
M_tot = 0.001 Bohr magnetons per cell

***

[3]
This record from Alexandria via LeMat-Bulk describes a geometry-optimized TaZnP structure. The functional is GGA-PBE.

Cell lengths 5.8531, 5.8531, 5.8531 Å; angles 90.00, 90.00, 90.00 degrees
With the nearest neighbours (Å) after each atom.
Space group F-43m (No. 216)
Inequivalent atoms, fractional coordinates:
Ta 0.0000 0.0000 0.0000  4 P 2.53
Zn 0.0000 0.0000 0.5000  4 P 2.53
P 0.2500 0.2500 0.7500  4 Ta 2.53, 4 Zn 2.53

Computed properties:
Fermi-level density of states = 0.89 states/eV per atom
ΔH_f (0 K) = 152 meV per atom
M_tot = 0.000 Bohr magnetons per cell

***

[4]
This record from Alexandria via LeMat-Bulk describes a geometry-optimized TaZnP2 structure. The functional is GGA-PBE.

Cell lengths 2.7786, 2.7786, 9.4103 Å; angles 90.00, 90.00, 90.00 degrees
With the nearest neighbours (Å) after each atom.
Space group P4mm (No. 99)
Inequivalent atoms, fractional coordinates:
Ta 0.0000 0.0000 0.0000  4 P 2.74, 4 Ta 2.78, 4 Zn 2.88
Zn 0.5000 0.5000 0.2242  4 P 2.66, 4 Zn 2.78, 4 Ta 2.88
P 0.0000 0.0000 0.4153  4 Zn 2.66, 4 P 2.78
P 0.5000 0.5000 0.7964  4 Ta 2.74, 4 P 2.78

Computed properties:
Fermi-level density of states = 0.82 states/eV per atom
ΔH_f (0 K) = 276 meV per atom
M_tot = 0.000 Bohr magnetons per cell

***

[5]
This record from Alexandria via LeMat-Bulk describes a geometry-optimized TaZnP2 structure. The functional is GGA-PBE.

Cell lengths 3.6008, 3.3737, 10.7044 Å; angles 90.00, 90.00, 90.00 degrees
With the nearest neighbours (Å) after each atom.
Space group Amm2 (No. 38)
Inequivalent atoms, fractional coordinates:
Ta 0.0000 0.0000 0.0000  6 P 2.56-2.60, 2 Zn 2.82
Zn 0.5000 0.0000 0.7967  5 P 2.35-2.48
P 0.0000 0.0000 0.3206  4 Zn 2.48, 2 Ta 2.56
P 0.5000 0.0000 0.5773  1 Zn 2.35, 4 Ta 2.60

Computed properties:
Fermi-level density of states = 0.23 states/eV per atom
ΔH_f (0 K) = -337 meV per atom
M_tot = 0.000 Bohr magnetons per cell

***

[6]
This record from Alexandria via LeMat-Bulk describes a geometry-optimized TaZnP2 structure. The functional is GGA-PBE.

Cell lengths 3.5316, 4.7366, 7.9401 Å; angles 90.00, 90.00, 90.00 degrees
With the nearest neighbours (Å) after each atom.
Space group Cmmm (No. 65)
Inequivalent atoms, fractional coordinates:
Ta 0.0000 0.0000 0.0000  4 P 2.53
Zn 0.0000 0.0000 0.5000  4 P 2.79, 4 Zn 2.95
P 0.0000 0.5000 0.2274  2 Ta 2.53, 2 Zn 2.79

Computed properties:
Fermi-level density of states = 0.32 states/eV per atom
ΔH_f (0 K) = 28 meV per atom
M_tot = 0.000 Bohr magnetons per cell

***

[7]
This record from Alexandria via LeMat-Bulk describes a geometry-optimized TaZn2P structure. The functional is GGA-PBE.

Cell lengths 3.5051, 4.3403, 8.4458 Å; angles 90.00, 90.00, 90.00 degrees
With the nearest neighbours (Å) after each atom.
Space group Cmmm (No. 65)
Inequivalent atoms, fractional coordinates:
Ta 0.0000 0.0000 0.0000  8 Zn 2.76-3.04, 4 Ta 2.79
Zn 0.0000 0.5000 0.2524  4 P 2.73-3.01, 4 Ta 2.76-3.04, 4 Zn 2.79
P 0.0000 0.0000 0.5000  8 Zn 2.73-3.01, 4 P 2.79

Computed properties:
Fermi-level density of states = 0.35 states/eV per atom
ΔH_f (0 K) = 233 meV per atom
M_tot = 0.000 Bohr magnetons per cell

***

[8]
This record from Alexandria via LeMat-Bulk describes a geometry-optimized TaZnP2 structure. The functional is GGA-PBE.

Cell lengths 4.2859, 4.2859, 3.2413 Å; angles 90.00, 90.00, 90.00 degrees
With the nearest neighbours (Å) after each atom.
Space group P4/mmm (No. 123)
Inequivalent atoms, fractional coordinates:
Ta 0.0000 0.0000 0.0000  8 P 2.69
Zn 0.5000 0.5000 0.0000  8 P 2.69
P 0.0000 0.5000 0.5000  4 Ta 2.69, 4 Zn 2.69

Computed properties:
Fermi-level density of states = 0.59 states/eV per atom
ΔH_f (0 K) = 6 meV per atom
M_tot = 0.000 Bohr magnetons per cell

***

> What is the ΔH_f (0 K) in the eighth record?

6 meV per atom

***

> M_tot of number 2 (TaZnP)?

0.001 Bohr magnetons per cell

***

> The lowest Fermi-level density of states belongs to which entry?

number 5

***

> The highest Fermi-level density of states belongs to which entry?

number 2